VASP calculation (PBE-GGA) on an optimized crystal structure of YTl2N2.

Output
- offset from the most stable computed form (meV per atom) = 270

Cell: 7.725 7.725 3.320 Å, 90.00 90.00 90.00°
Space group P4/mbm (No. 127)
Inequivalent atoms, fractional coordinates:
Y 0.000 0.000 0.000 [2 per cell]
Tl 0.123 0.377 0.000 [4 per cell]
N 0.234 0.734 0.500 [4 per cell]

***

VASP calculation (PBE-GGA) on an optimized crystal structure of Y3TlN.

Cell: 13.453 3.591 9.911 Å, 90.00 90.81 90.00°
Space group C2/m (No. 12)
Inequivalent atoms, fractional coordinates:
Y 0.071 0.000 0.370 [4 per cell]
Y 0.171 0.500 0.121 [4 per cell]
Y 0.189 0.500 0.623 [4 per cell]
Tl 0.078 0.000 0.869 [4 per cell]
N 0.189 0.500 0.372 [4 per cell]

***

VASP calculation (PBE-GGA) on an optimized crystal structure of Y3TlN.

Cell: 6.675 6.675 12.175 Å, 90.00 90.00 90.00°
Space group I-4m2 (No. 119)
Inequivalent atoms, fractional coordinates:
Y 0.000 0.000 0.129 [4 per cell]
Y 0.000 0.251 0.618 [8 per cell]
Tl 0.000 0.500 0.121 [4 per cell]
N 0.000 0.000 0.500 [2 per cell]
N 0.000 0.500 0.750 [2 per cell]

***

DOS at the Fermi energy? In order: 5.13, 17.63, 5.09 states/eV/cell.
ΔE_f (raw)? In order: 1.041, -0.730, -0.418 eV per atom.